(1)
Computed, not measured: MgNbNiSn after structural relaxation at the PBE level of DFT.

Calculated values
V in Å³ per cell: 69.6
Symmetry: F-43m (216)

Cell: 4.6166 4.6166 4.6166 Å, 60.00 60.00 60.00°
Atoms (fractional coordinates):
Nb (0.2500, 0.2500, 0.2500)
Ni (0.7500, 0.7500, 0.7500)
Mg (0.5000, 0.5000, 0.5000)
Sn (0.0000, 0.0000, 0.0000)

---

(2)
Computed, not measured: MgNbPO after structural relaxation at the PBE level of DFT.

Calculated values
V in Å³ per cell: 123.6
Symmetry: Pmc2_1 (26)

Cell: 3.8571 6.0900 5.2610 Å, 90.00 90.00 90.00°
Atoms (fractional coordinates):
Mg (0.0000, 0.0014, 0.6247)
Mg (0.0000, 0.9986, 0.1247)
P (0.5000, 0.2349, 0.3760)
P (0.5000, 0.7651, 0.8760)
O (0.0000, 0.2430, 0.8765)
O (0.0000, 0.7570, 0.3765)
Nb (0.5000, 0.6391, 0.3767)
Nb (0.5000, 0.3609, 0.8767)

---

(3)
Computed, not measured: MgNbPO after structural relaxation at the PBE level of DFT.

Calculated values
V in Å³ per cell: 124.1
Symmetry: Pmc2_1 (26)

Cell: 3.3777 6.3296 5.8028 Å, 90.00 90.00 90.00°
Atoms (fractional coordinates):
Nb (0.5000, 0.9909, 0.1089)
Nb (0.5000, 0.0091, 0.6089)
O (0.5000, 0.7448, 0.3585)
O (0.5000, 0.2552, 0.8585)
Mg (0.0000, 0.3894, 0.9345)
Mg (0.0000, 0.6106, 0.4345)
P (0.0000, 0.7845, 0.8521)
P (0.0000, 0.2155, 0.3521)

---

(4)
Computed, not measured: MgNbPO after structural relaxation at the PBE level of DFT.

Calculated values
V in Å³ per cell: 109.0
Symmetry: P4/nmm (129)

Cell: 3.6233 3.6233 8.3046 Å, 90.00 90.00 90.00°
Atoms (fractional coordinates):
Mg (0.5000, 0.5000, 0.5000)
Mg (0.0000, 0.0000, 0.5000)
P (0.5000, 0.0000, 0.2823)
P (0.0000, 0.5000, 0.7177)
O (0.0000, 0.0000, 0.0000)
O (0.5000, 0.5000, 0.0000)
Nb (0.5000, 0.0000, 0.8494)
Nb (0.0000, 0.5000, 0.1506)

---

(5)
Computed, not measured: MgNbPO after structural relaxation at the PBE level of DFT.

Calculated values
V in Å³ per cell: 145.9
Symmetry: P4/nmm (129)

Cell: 4.0673 4.0673 8.8198 Å, 90.00 90.00 90.00°
Atoms (fractional coordinates):
P (0.0000, 0.5000, 0.6621)
P (0.5000, 0.0000, 0.3379)
Mg (0.0000, 0.5000, 0.0038)
Mg (0.5000, 0.0000, 0.9962)
O (0.0000, 0.0000, 0.0000)
O (0.5000, 0.5000, 0.0000)
Nb (0.5000, 0.5000, 0.5000)
Nb (0.0000, 0.0000, 0.5000)

---

(6)
Computed, not measured: MgNbOs after structural relaxation at the PBE level of DFT.

Calculated values
V in Å³ per cell: 58.4
Symmetry: F-43m (216)

Cell: 4.3537 4.3537 4.3537 Å, 60.00 60.00 60.00°
Atoms (fractional coordinates):
Mg (0.2500, 0.2500, 0.2500)
Os (0.0000, 0.0000, 0.0000)
Nb (0.7500, 0.7500, 0.7500)

---

(7)
Computed, not measured: MgNbOs after structural relaxation at the PBE level of DFT.

Calculated values
V in Å³ per cell: 58.8
Symmetry: F-43m (216)

Cell: 4.3657 4.3657 4.3657 Å, 60.00 60.00 60.00°
Atoms (fractional coordinates):
Mg (0.2500, 0.2500, 0.2500)
Nb (0.0000, 0.0000, 0.0000)
Os (0.7500, 0.7500, 0.7500)

---

(8)
Computed, not measured: Mg2NbSiP4 after structural relaxation at the PBE level of DFT.

Calculated values
V in Å³ per cell: 181.3
Symmetry: I-4 (82)

Cell: 6.8568 6.8568 6.8568 Å, 130.67 130.67 72.35°
Atoms (fractional coordinates):
Mg (0.2500, 0.7500, 0.5000)
Mg (0.5000, 0.5000, 0.0000)
Nb (0.0000, 0.0000, 0.0000)
P (0.8670, 0.3450, 0.9535)
P (0.0865, 0.1330, 0.4779)
P (0.3915, 0.9135, 0.0465)
P (0.6550, 0.6085, 0.5221)
Si (0.7500, 0.2500, 0.5000)

---

(9)
Computed, not measured: MgPaNb after structural relaxation at the PBE level of DFT.

Calculated values
V in Å³ per cell: 76.4
Symmetry: F-43m (216)

Cell: 4.7622 4.7622 4.7622 Å, 60.00 60.00 60.00°
Atoms (fractional coordinates):
Pa (0.0000, 0.0000, 0.0000)
Nb (0.7500, 0.7500, 0.7500)
Mg (0.2500, 0.2500, 0.2500)

---

(10)
Computed, not measured: MgPaNb after structural relaxation at the PBE level of DFT.

Calculated values
V in Å³ per cell: 71.2
Symmetry: F-43m (216)

Cell: 4.6525 4.6525 4.6525 Å, 60.00 60.00 60.00°
Atoms (fractional coordinates):
Pa (0.0000, 0.0000, 0.0000)
Nb (0.2500, 0.2500, 0.2500)
Mg (0.5000, 0.5000, 0.5000)

---

(11)
Computed, not measured: MgNbPb after structural relaxation at the PBE level of DFT.

Calculated values
V in Å³ per cell: 77.6
Symmetry: F-43m (216)

Cell: 4.7868 4.7868 4.7868 Å, 60.00 60.00 60.00°
Atoms (fractional coordinates):
Nb (0.0000, 0.0000, 0.0000)
Mg (0.2500, 0.2500, 0.2500)
Pb (0.7500, 0.7500, 0.7500)

---

(12)
Computed, not measured: MgNb2Pb after structural relaxation at the PBE level of DFT.

Calculated values
V in Å³ per cell: 79.6
Symmetry: F-43m (216)

Cell: 4.8277 4.8277 4.8277 Å, 60.00 60.00 60.00°
Atoms (fractional coordinates):
Nb (0.7500, 0.7500, 0.7500)
Nb (0.0000, 0.0000, 0.0000)
Mg (0.2500, 0.2500, 0.2500)
Pb (0.5000, 0.5000, 0.5000)

---

(13)
Computed, not measured: MgNbPb after structural relaxation at the PBE level of DFT.

Calculated values
V in Å³ per cell: 76.6
Symmetry: F-43m (216)

Cell: 4.7667 4.7667 4.7667 Å, 60.00 60.00 60.00°
Atoms (fractional coordinates):
Mg (0.2500, 0.2500, 0.2500)
Pb (0.0000, 0.0000, 0.0000)
Nb (0.7500, 0.7500, 0.7500)

---

(14)
Computed, not measured: MgNbTcPb after structural relaxation at the PBE level of DFT.

Calculated values
V in Å³ per cell: 72.3
Symmetry: F-43m (216)

Cell: 4.6763 4.6763 4.6763 Å, 60.00 60.00 60.00°
Atoms (fractional coordinates):
Pb (0.5000, 0.5000, 0.5000)
Nb (0.0000, 0.0000, 0.0000)
Mg (0.7500, 0.7500, 0.7500)
Tc (0.2500, 0.2500, 0.2500)

---

(15)
Computed, not measured: Mg2Nb2Pd3 after structural relaxation at the PBE level of DFT.

Calculated values
V in Å³ per cell: 124.6
Symmetry: R3m (160)

Cell: 7.6640 7.6640 7.6640 Å, 33.87 33.87 33.87°
Atoms (fractional coordinates):
Mg (0.5040, 0.5040, 0.5040)
Mg (0.9938, 0.9938, 0.9938)
Pd (0.6264, 0.6264, 0.6264)
Pd (0.3759, 0.3759, 0.3759)
Pd (0.1231, 0.1231, 0.1231)
Nb (0.7551, 0.7551, 0.7551)
Nb (0.2467, 0.2467, 0.2467)

---

(16)
Computed, not measured: MgNbPd after structural relaxation at the PBE level of DFT.

Calculated values
V in Å³ per cell: 60.9
Symmetry: F-43m (216)

Cell: 4.4167 4.4167 4.4167 Å, 60.00 60.00 60.00°
Atoms (fractional coordinates):
Nb (0.0000, 0.0000, 0.0000)
Mg (0.2500, 0.2500, 0.2500)
Pd (0.7500, 0.7500, 0.7500)

---

(17)
Computed, not measured: Mg2NbSb3Pd3 after structural relaxation at the PBE level of DFT.

Calculated values
V in Å³ per cell: 373.8
Symmetry: Cc (9)

Cell: 7.6946 7.7078 7.7078 Å, 119.84 99.61 99.61°
Atoms (fractional coordinates):
Sb (0.2487, 0.2531, 0.7489)
Sb (0.7479, 0.0867, 0.9157)
Sb (0.7517, 0.4125, 0.5785)
Sb (0.2479, 0.9157, 0.0867)
Sb (0.7487, 0.7489, 0.2531)
Sb (0.2517, 0.5785, 0.4125)
Pd (0.1235, 0.2025, 0.0356)
Pd (0.6294, 0.7095, 0.5511)
Pd (0.6236, 0.3808, 0.8738)
Pd (0.1294, 0.5511, 0.7095)
Pd (0.1236, 0.8738, 0.3808)
Pd (0.6235, 0.0356, 0.2025)
Nb (0.5005, 0.6674, 0.8355)
Nb (0.0005, 0.8355, 0.6674)
Mg (0.4998, 0.3317, 0.1643)
Mg (0.4998, 0.0012, 0.5012)
Mg (0.9998, 0.1643, 0.3317)
Mg (0.9998, 0.5012, 0.0012)

---

(18)
Computed, not measured: MgNbPt2 after structural relaxation at the PBE level of DFT.

Calculated values
V in Å³ per cell: 65.0
Symmetry: F-43m (216)

Cell: 4.5141 4.5141 4.5141 Å, 60.00 60.00 60.00°
Atoms (fractional coordinates):
Pt (0.5000, 0.5000, 0.5000)
Pt (0.2500, 0.2500, 0.2500)
Nb (0.0000, 0.0000, 0.0000)
Mg (0.7500, 0.7500, 0.7500)

---

(19)
Computed, not measured: MgNbPt after structural relaxation at the PBE level of DFT.

Calculated values
V in Å³ per cell: 56.7
Symmetry: F-43m (216)

Cell: 4.3121 4.3121 4.3121 Å, 60.00 60.00 60.00°
Atoms (fractional coordinates):
Pt (0.7500, 0.7500, 0.7500)
Mg (0.0000, 0.0000, 0.0000)
Nb (0.2500, 0.2500, 0.2500)

---

(20)
Computed, not measured: MgNbPt after structural relaxation at the PBE level of DFT.

Calculated values
V in Å³ per cell: 59.4
Symmetry: F-43m (216)

Cell: 4.3799 4.3799 4.3799 Å, 60.00 60.00 60.00°
Atoms (fractional coordinates):
Pt (0.0000, 0.0000, 0.0000)
Mg (0.5000, 0.5000, 0.5000)
Nb (0.2500, 0.2500, 0.2500)

---

Summary of calculated total energy in eV per cell
-20.6; -53.3; -54.7; -51.2; -53.7; -21.9; -20.8; -42.8; -17.1; -18.7; -13.2; -23.9; -13.3; -24.8; -39.9; -15.1; -91.9; -25.2; -16.1; -17.0
(order as listed above)